MgAlSi2: optimized geometry, PBE.

Properties
polymorph energy (0 for the lowest one) = 0.17 eV/f.u.
raw total energy = -3.868 eV per atom

CIF file:
```
data_MgAlSi2
_space_group_name_H-M_alt 'P 1'
_space_group_IT_number 1
_space_group_name_Hall 'P 1'
_cell_length_a 3.9064
_cell_length_b 4.2967
_cell_length_c 7.8604
_cell_angle_alpha 90.00
_cell_angle_beta 90.00
_cell_angle_gamma 90.00
loop_
_atom_site_label
_atom_site_type_symbol
_atom_site_fract_x
_atom_site_fract_y
_atom_site_fract_z
Mg1 Mg 0.0000 0.0000 0.0000
Mg2 Mg 0.5000 0.5000 0.5000
Al1 Al 0.0000 0.0000 0.5000
Al2 Al 0.5000 0.5000 0.0000
Si1 Si 0.0000 0.5000 0.2466
Si2 Si 0.0000 0.5000 0.7534
Si3 Si 0.5000 0.0000 0.2534
Si4 Si 0.5000 0.0000 0.7466
```